1.
Here is a geometry-optimized MgFeIN2 structure from Alexandria via LeMat-Bulk. Energies are from PBE-GGA.

DOS at the Fermi energy   3.62 states/eV/cell
Uncorrected formation energy   0.80 eV per atom

The structure in POSCAR format:
```
MgFeIN2
1.0
3.773 0.000 0.000
0.000 3.773 0.000
0.000 0.000 5.581
Fe N I Mg
1 2 1 1
Cartesian
0.000 0.000 0.000
0.000 1.886 0.000
1.886 0.000 0.000
0.000 0.000 2.791
1.886 1.886 2.791
```

2.
Here is a geometry-optimized MgFeIN2 structure from Alexandria via LeMat-Bulk. Energies are from PBE-GGA.

DOS at the Fermi energy   7.82 states/eV/cell
Uncorrected formation energy   1.79 eV per atom

The structure in POSCAR format:
```
MgFeIN2
1.0
-1.526 3.577 -0.372
0.118 -0.354 -3.889
-5.181 -2.205 0.044
N Mg I Fe
2 1 1 1
Cartesian
0.059 -0.177 -1.944
-0.763 1.788 -0.186
0.000 0.000 0.000
-2.591 -1.103 0.022
-3.295 0.509 -2.108
```

Number 2 is which compound?
MgFeIN2

Among the records above, which one has the highest uncorrected formation energy?
number 2